[1]
Density functional theory data (PBE+U) for an optimized crystal structure of VN2OF.

It has space group P4/mmm (No. 123), with a = 3.531 Å, b = 3.531 Å, c = 3.625 Å, α = 90.00°, β = 90.00° and γ = 90.00°. The asymmetric unit holds V at (0.000, 0.000, 0.000), N at (0.000, 0.500, 0.500), O at (0.500, 0.500, 0.500) and F at (0.500, 0.500, 0.000).

For the raw total energy, the calculation gives -4.512 eV/atom. For the volume, the calculation gives 45 Å³/f.u. The magnetic moment is 0.0 μB/cell. For the density of states at the Fermi level, the calculation gives 3.065 states/eV/cell.

***

[2]
Density functional theory data (PBE+U) for an optimized crystal structure of VN2OF.

It has space group P4/mmm (No. 123), with a = 3.536 Å, b = 3.536 Å, c = 3.667 Å, α = 90.00°, β = 90.00° and γ = 90.00°. The asymmetric unit holds V at (0.000, 0.000, 0.000), N at (0.000, 0.500, 0.500), O at (0.500, 0.500, 0.000) and F at (0.500, 0.500, 0.500).

For the raw total energy, the calculation gives -4.159 eV/atom. For the volume, the calculation gives 46 Å³/f.u. The magnetic moment is 0.0 μB/cell. For the density of states at the Fermi level, the calculation gives 3.280 states/eV/cell.